Entry from Alexandria: a relaxed structure of Y3ReGe (PBEsol).

Output
The value obtained for the total energy is -34.6 eV/cell. The calculation puts the formation energy at 79.1 kJ per mole of atoms.

CIF file:
```
data_Y3ReGe
_symmetry_space_group_name_H-M 'P m -3 m'
_symmetry_Int_Tables_number 221
_symmetry_space_group_name_Hall '-P 4 2 3'
_cell_length_a 5.230
_cell_length_b 5.230
_cell_length_c 5.230
_cell_angle_alpha 90.00
_cell_angle_beta 90.00
_cell_angle_gamma 90.00
loop_
_atom_site_label
_atom_site_type_symbol
_atom_site_fract_x
_atom_site_fract_y
_atom_site_fract_z
Y1 Y 0.000 0.000 0.500
Re1 Re 0.500 0.500 0.500
Ge1 Ge 0.000 0.000 0.000
```